# NaIn3Hg3

NaIn3Hg3 after structural relaxation (PBE, Alexandria via LeMat-Bulk).

- V: 27.4 A^3/atom
- Energy of formation: -0.02 eV per atom
- Relative energy among the computed polymorphs: 40 meV per atom
- Space group: R3m

The structure in POSCAR format:
```
NaIn3Hg3
1.0
-5.329 1.511 2.220
1.489 -4.841 3.155
3.636 4.218 2.142
Na In Hg
1 3 3
Direct
0.054 0.054 0.054
0.545 0.545 0.188
0.545 0.188 0.545
0.188 0.545 0.545
0.517 0.975 0.975
0.975 0.975 0.517
0.975 0.517 0.975
```


# NaIn5Hg8

NaIn5Hg8 after structural relaxation (PBE, Alexandria via LeMat-Bulk).

- V: 26.9 A^3/atom
- Energy of formation: -0.04 eV per atom
- Space group: I-4

The structure in POSCAR format:
```
NaIn5Hg8
1.0
-6.758 3.771 -1.468
-0.953 -7.684 -1.449
2.049 0.980 7.542
Na In Hg
1 5 8
Direct
0.250 0.500 0.750
0.017 0.386 0.136
0.864 0.881 0.249
0.751 0.614 0.632
0.500 0.000 0.500
0.368 0.119 0.983
0.132 0.760 0.040
0.960 0.092 0.720
0.774 0.250 0.366
0.634 0.407 0.883
0.476 0.593 0.226
0.627 0.908 0.868
0.280 0.240 0.373
0.117 0.750 0.524
```


# Na2In5Hg12

Na2In5Hg12 after structural relaxation (PBE, Alexandria via LeMat-Bulk).

- V: 26.3 A^3/atom
- Energy of formation: -0.06 eV per atom
- Relative energy among the computed polymorphs: 0 meV per atom
- Space group: C2/m

The structure in POSCAR format:
```
Na2In5Hg12
1.0
5.783 -0.036 1.219
1.432 8.692 4.372
0.226 -0.373 9.824
Na In Hg
2 5 12
Direct
0.000 0.239 0.761
0.000 0.761 0.239
0.453 0.211 0.211
0.870 0.335 0.335
0.500 0.000 0.000
0.130 0.665 0.665
0.547 0.789 0.789
0.011 0.885 0.885
0.196 0.546 0.059
0.196 0.059 0.546
0.595 0.645 0.156
0.595 0.156 0.645
0.277 0.446 0.446
0.723 0.554 0.554
0.405 0.355 0.844
0.405 0.844 0.355
0.804 0.454 0.941
0.804 0.941 0.454
0.989 0.115 0.115
```


# Na6In3Hg

Na6In3Hg after structural relaxation (PBE, Alexandria via LeMat-Bulk).

- V: 29.2 A^3/atom
- Energy of formation: -0.08 eV per atom
- Space group: P2_1/m

The structure in POSCAR format:
```
Na6In3Hg
1.0
3.510 0.000 0.000
0.000 11.922 -2.547
0.000 -1.042 14.200
Na In Hg
12 6 2
Direct
0.750 0.517 0.691
0.250 0.483 0.309
0.750 0.835 0.114
0.250 0.165 0.886
0.750 0.347 0.101
0.250 0.653 0.899
0.750 0.717 0.297
0.250 0.283 0.703
0.750 0.138 0.479
0.250 0.862 0.521
0.750 0.815 0.729
0.250 0.185 0.271
0.750 0.426 0.906
0.250 0.574 0.094
0.750 0.616 0.507
0.250 0.384 0.493
0.750 0.086 0.072
0.250 0.914 0.928
0.750 0.056 0.682
0.250 0.944 0.318
```


# NaIn12Hg6

NaIn12Hg6 after structural relaxation (PBE, Alexandria via LeMat-Bulk).

- V: 26.9 A^3/atom
- Energy of formation: 0.01 eV per atom
- Relative energy among the computed polymorphs: 0 meV per atom
- Space group: R-3

The structure in POSCAR format:
```
NaIn12Hg6
1.0
-3.664 1.503 -6.960
-5.412 -5.784 1.177
-4.717 5.587 3.267
Na In Hg
1 12 6
Direct
0.000 0.000 0.000
0.486 0.801 0.460
0.199 0.460 0.514
0.540 0.514 0.801
0.514 0.199 0.540
0.801 0.540 0.486
0.460 0.486 0.199
0.855 0.053 0.382
0.382 0.855 0.947
0.053 0.618 0.855
0.145 0.947 0.618
0.618 0.145 0.053
0.947 0.382 0.145
0.129 0.734 0.253
0.734 0.747 0.129
0.253 0.129 0.266
0.871 0.266 0.747
0.266 0.253 0.871
0.747 0.871 0.734
```


# Na4In2Hg

Na4In2Hg after structural relaxation (PBE, Alexandria via LeMat-Bulk).

- V: 29.1 A^3/atom
- Energy of formation: -0.12 eV per atom
- Space group: P1

The structure in POSCAR format:
```
Na4In2Hg
1.0
5.881 0.103 2.035
2.762 7.085 1.882
-0.038 0.042 9.840
Na In Hg
8 4 2
Direct
0.780 0.141 0.868
0.792 0.610 0.382
0.292 0.101 0.893
0.847 0.144 0.250
0.348 0.649 0.760
0.280 0.649 0.356
0.724 0.606 0.001
0.224 0.101 0.491
0.999 0.461 0.682
0.573 0.289 0.568
0.285 0.375 0.125
0.786 0.875 0.624
0.499 0.959 0.182
0.071 0.792 0.068
```